Here is an optimized crystal structure of LaDyHgIr from the Alexandria database. Energies are from PBE.

abc: 7.3130 7.3130 7.3130
angles: 90.00 90.00 90.00
Fractional positions:
La: 0.0000 0.0000 0.0000
La: 0.0000 0.5000 0.5000
La: 0.5000 0.0000 0.5000
La: 0.5000 0.5000 0.0000
Dy: 0.0000 0.0000 0.5000
Dy: 0.0000 0.5000 0.0000
Dy: 0.5000 0.0000 0.0000
Dy: 0.5000 0.5000 0.5000
Hg: 0.2500 0.2500 0.2500
Hg: 0.2500 0.7500 0.7500
Hg: 0.7500 0.2500 0.7500
Hg: 0.7500 0.7500 0.2500
Ir: 0.2500 0.2500 0.7500
Ir: 0.2500 0.7500 0.2500
Ir: 0.7500 0.2500 0.2500
Ir: 0.7500 0.7500 0.7500

Properties
E_form = -0.54 eV/atom
Fermi-level density of states = 2.93 states/eV/f.u.
E_tot = -83.49 eV for the cell shown
SG = No. 216
M_tot = 0.00 μB/cell

Here is an optimized crystal structure of LiDyHgIr from the Alexandria database. Energies are from PBE.

abc: 6.7367 6.7367 6.7367
angles: 90.00 90.00 90.00
Fractional positions:
Li: 0.0000 0.0000 0.0000
Li: 0.0000 0.5000 0.5000
Li: 0.5000 0.0000 0.5000
Li: 0.5000 0.5000 0.0000
Dy: 0.2500 0.2500 0.2500
Dy: 0.2500 0.7500 0.7500
Dy: 0.7500 0.2500 0.7500
Dy: 0.7500 0.7500 0.2500
Hg: 0.2500 0.2500 0.7500
Hg: 0.2500 0.7500 0.2500
Hg: 0.7500 0.2500 0.2500
Hg: 0.7500 0.7500 0.7500
Ir: 0.0000 0.0000 0.5000
Ir: 0.0000 0.5000 0.0000
Ir: 0.5000 0.0000 0.0000
Ir: 0.5000 0.5000 0.5000

Properties
E_form = -0.37 eV/atom
Fermi-level density of states = 1.46 states/eV/f.u.
E_tot = -68.71 eV for the cell shown
SG = No. 216
M_tot = 0.00 μB/cell

Here is an optimized crystal structure of DyLuHgIr from the Alexandria database. Energies are from PBE.

abc: 7.0497 7.0497 7.0497
angles: 90.00 90.00 90.00
Fractional positions:
Dy: 0.0000 0.0000 0.0000
Dy: 0.0000 0.5000 0.5000
Dy: 0.5000 0.0000 0.5000
Dy: 0.5000 0.5000 0.0000
Lu: 0.0000 0.0000 0.5000
Lu: 0.0000 0.5000 0.0000
Lu: 0.5000 0.0000 0.0000
Lu: 0.5000 0.5000 0.5000
Hg: 0.2500 0.2500 0.2500
Hg: 0.2500 0.7500 0.7500
Hg: 0.7500 0.2500 0.7500
Hg: 0.7500 0.7500 0.2500
Ir: 0.2500 0.2500 0.7500
Ir: 0.2500 0.7500 0.2500
Ir: 0.7500 0.2500 0.2500
Ir: 0.7500 0.7500 0.7500

Properties
E_form = -0.64 eV/atom
Fermi-level density of states = 1.90 states/eV/f.u.
E_tot = -83.46 eV for the cell shown
SG = No. 216
M_tot = 0.00 μB/cell

Here is an optimized crystal structure of NdDyHgIr from the Alexandria database. Energies are from PBE.

abc: 7.2464 7.2464 7.2464
angles: 90.00 90.00 90.00
Fractional positions:
Nd: 0.0000 0.0000 0.0000
Nd: 0.0000 0.5000 0.5000
Nd: 0.5000 0.0000 0.5000
Nd: 0.5000 0.5000 0.0000
Dy: 0.0000 0.0000 0.5000
Dy: 0.0000 0.5000 0.0000
Dy: 0.5000 0.0000 0.0000
Dy: 0.5000 0.5000 0.5000
Hg: 0.2500 0.2500 0.2500
Hg: 0.2500 0.7500 0.7500
Hg: 0.7500 0.2500 0.7500
Hg: 0.7500 0.7500 0.2500
Ir: 0.2500 0.2500 0.7500
Ir: 0.2500 0.7500 0.2500
Ir: 0.7500 0.2500 0.2500
Ir: 0.7500 0.7500 0.7500

Properties
E_form = -0.55 eV/atom
Fermi-level density of states = 2.78 states/eV/f.u.
E_tot = -82.90 eV for the cell shown
SG = No. 216
M_tot = 0.00 μB/cell

Here is an optimized crystal structure of Dy4HgIrRh2 from the Alexandria database. Energies are from PBE.

abc: 8.6442 8.6442 8.6442
angles: 33.15 33.15 33.15
Fractional positions:
Dy: 0.1181 0.1181 0.1181
Dy: 0.3705 0.3705 0.3705
Dy: 0.6295 0.6295 0.6295
Dy: 0.8819 0.8819 0.8819
Hg: 0.5000 0.5000 0.5000
Ir: 0.0000 0.0000 0.0000
Rh: 0.2509 0.2509 0.2509
Rh: 0.7491 0.7491 0.7491

Properties
E_form = -0.75 eV/atom
Fermi-level density of states = 3.95 states/eV/f.u.
E_tot = -48.30 eV for the cell shown
SG = No. 166
M_tot = 0.00 μB/cell

Here is an optimized crystal structure of Dy5Hg2Ir2Ru from the Alexandria database. Energies are from PBE.

abc: 11.5718 11.5718 3.5615
angles: 90.00 90.00 90.00
Fractional positions:
Dy: 0.0000 0.5000 0.0000
Dy: 0.0759 0.1921 0.0000
Dy: 0.1921 0.9241 0.0000
Dy: 0.3079 0.4241 0.0000
Dy: 0.4241 0.6921 0.0000
Dy: 0.5000 0.0000 0.0000
Dy: 0.5759 0.3079 0.0000
Dy: 0.6921 0.5759 0.0000
Dy: 0.8079 0.0759 0.0000
Dy: 0.9241 0.8079 0.0000
Hg: 0.1749 0.6749 0.5000
Hg: 0.3251 0.1749 0.5000
Hg: 0.6749 0.8251 0.5000
Hg: 0.8251 0.3251 0.5000
Ir: 0.1330 0.3670 0.5000
Ir: 0.3670 0.8670 0.5000
Ir: 0.6330 0.1330 0.5000
Ir: 0.8670 0.6330 0.5000
Ru: 0.0000 0.0000 0.5000
Ru: 0.5000 0.5000 0.5000

Properties
E_form = -0.49 eV/atom
Fermi-level density of states = 6.73 states/eV/f.u.
E_tot = -111.00 eV for the cell shown
SG = No. 127
M_tot = 0.00 μB/cell

- Number 5 is which compound?
  Dy4HgIrRh2